# Y2CuNi4As3 (PBE, optimized geometry)
data_Y2CuNi4As3
_chemical_formula_sum 'Y2 Cu1 Ni4 As3'
_space_group_name_H-M_alt 'P -4 m 2'
_space_group_IT_number 115
_cell_length_a 4.046
_cell_length_b 4.046
_cell_length_c 9.620
_cell_angle_alpha 90.00
_cell_angle_beta 90.00
_cell_angle_gamma 90.00
loop_
_space_group_symop_operation_xyz
'x,y,z'
'y,-x,-z'
'-x,-y,z'
'-y,x,-z'
'-x,y,z'
'-y,-x,-z'
'x,-y,z'
'y,x,-z'
loop_
_atom_site_label
_atom_site_fract_x
_atom_site_fract_y
_atom_site_fract_z
Y1 0.000 0.500 0.249
Cu1 0.000 0.000 0.500
Ni1 0.000 0.000 0.000
Ni2 0.000 0.500 0.626
Ni3 0.500 0.500 0.000
As1 0.000 0.500 0.865
As2 0.500 0.500 0.500
# electronic total energy	-61.44	eV for the cell shown
# density of states at the Fermi level	5.8	states/eV/cell
# calculated volume	157	Å³/cell
# calculated formation energy	-0.734	eV per atom

=====

# Np2CuAs (PBE, optimized geometry)
data_Np2CuAs
_chemical_formula_sum 'Np2 Cu1 As1'
_space_group_name_H-M_alt 'P 4/m m m'
_space_group_IT_number 123
_space_group_name_Hall '-P 4 2'
_cell_length_a 3.658
_cell_length_b 3.658
_cell_length_c 4.900
_cell_angle_alpha 90.00
_cell_angle_beta 90.00
_cell_angle_gamma 90.00
loop_
_atom_site_label
_atom_site_fract_x
_atom_site_fract_y
_atom_site_fract_z
Np1 0.000 0.500 0.000
Cu1 0.000 0.000 0.500
As1 0.500 0.500 0.500
# electronic total energy	-34.62	eV for the cell shown
# density of states at the Fermi level	7.7	states/eV/cell
# calculated volume	66	Å³/cell
# calculated formation energy	0.003	eV per atom

=====

# Np3Cu2As4 (PBE, optimized geometry)
data_Np3Cu2As4
_chemical_formula_sum 'Np6 Cu4 As8'
_space_group_name_H-M_alt 'C 1 2/m 1'
_space_group_IT_number 12
_cell_length_a 13.124
_cell_length_b 3.964
_cell_length_c 8.623
_cell_angle_alpha 90.00
_cell_angle_beta 125.74
_cell_angle_gamma 90.00
loop_
_space_group_symop_operation_xyz
'x,y,z'
'-x,-y,-z'
'-x,y,-z'
'x,-y,z'
'x+1/2,y+1/2,z'
'-x+1/2,-y+1/2,-z'
'-x+1/2,y+1/2,-z'
'x+1/2,-y+1/2,z'
loop_
_atom_site_label
_atom_site_fract_x
_atom_site_fract_y
_atom_site_fract_z
Np1 0.000 0.000 0.000
Np2 0.124 0.500 0.703
Cu1 0.186 0.500 0.376
As1 0.076 0.000 0.390
As2 0.181 0.500 0.087
# electronic total energy	-139.85	eV for the cell shown
# density of states at the Fermi level	44.6	states/eV/cell
# calculated volume	364	Å³/cell
# calculated formation energy	-0.479	eV per atom

=====

# NpCu2As2 (PBE, optimized geometry)
data_NpCu2As2
_chemical_formula_sum 'Np4 Cu8 As8'
_space_group_name_H-M_alt 'C m c m'
_space_group_IT_number 63
_space_group_name_Hall '-C 2c 2'
_cell_length_a 3.884
_cell_length_b 22.953
_cell_length_c 3.890
_cell_angle_alpha 90.00
_cell_angle_beta 90.00
_cell_angle_gamma 90.00
loop_
_atom_site_label
_atom_site_fract_x
_atom_site_fract_y
_atom_site_fract_z
Np1 0.000 0.150 0.250
Cu1 0.000 0.037 0.750
Cu2 0.000 0.463 0.750
As1 0.000 0.250 0.750
As2 0.000 0.392 0.250
# electronic total energy	-128.61	eV for the cell shown
# density of states at the Fermi level	31.8	states/eV/cell
# calculated volume	347	Å³/cell
# calculated formation energy	-0.344	eV per atom

=====

# NpCuAsO6 (PBE, optimized geometry)
data_NpCuAsO6
_chemical_formula_sum 'Np2 Cu2 As2 O12'
_space_group_name_H-M_alt 'P -3 1 c'
_space_group_IT_number 163
_space_group_name_Hall '-P 3 2c'
_cell_length_a 5.2560
_cell_length_b 5.2560
_cell_length_c 9.0830
_cell_angle_alpha 90.00
_cell_angle_beta 90.00
_cell_angle_gamma 120.00
loop_
_atom_site_label
_atom_site_fract_x
_atom_site_fract_y
_atom_site_fract_z
Np1 0.3333 0.6667 0.2500
Cu1 0.0000 0.0000 0.0000
As1 0.3333 0.6667 0.7500
O1 0.0321 0.3675 0.6340
# formation energy (no corrections)	-1548.2	meV/atom
# electronic total energy	-130.74	eV for the cell shown
# density of states at the Fermi level	6.7	states/eV/cell
# calculated volume	217	Å³/cell

=====

# NpCu2AsO8 (PBE, optimized geometry)
data_NpCu2AsO8
_chemical_formula_sum 'Np2 Cu4 As2 O16'
_space_group_name_H-M_alt 'I -4 m 2'
_space_group_IT_number 119
_space_group_name_Hall 'I -4 -2'
_cell_length_a 6.275
_cell_length_b 6.275
_cell_length_c 7.323
_cell_angle_alpha 90.00
_cell_angle_beta 90.00
_cell_angle_gamma 90.00
loop_
_atom_site_label
_atom_site_fract_x
_atom_site_fract_y
_atom_site_fract_z
Np1 0.000 0.000 0.000
Cu1 0.000 0.000 0.500
Cu2 0.000 0.500 0.750
As1 0.000 0.500 0.250
O1 0.000 0.218 0.306
O2 0.000 0.300 0.944
# formation energy (no corrections)	-1163.0	meV/atom
# electronic total energy	-158.81	eV for the cell shown
# density of states at the Fermi level	17.1	states/eV/cell
# calculated volume	288	Å³/cell

=====

What did the third record say?
# Np3Cu2As4 (PBE, optimized geometry)
data_Np3Cu2As4
_chemical_formula_sum 'Np6 Cu4 As8'
_space_group_name_H-M_alt 'C 1 2/m 1'
_space_group_IT_number 12
_cell_length_a 13.124
_cell_length_b 3.964
_cell_length_c 8.623
_cell_angle_alpha 90.00
_cell_angle_beta 125.74
_cell_angle_gamma 90.00
loop_
_space_group_symop_operation_xyz
'x,y,z'
'-x,-y,-z'
'-x,y,-z'
'x,-y,z'
'x+1/2,y+1/2,z'
'-x+1/2,-y+1/2,-z'
'-x+1/2,y+1/2,-z'
'x+1/2,-y+1/2,z'
loop_
_atom_site_label
_atom_site_fract_x
_atom_site_fract_y
_atom_site_fract_z
Np1 0.000 0.000 0.000
Np2 0.124 0.500 0.703
Cu1 0.186 0.500 0.376
As1 0.076 0.000 0.390
As2 0.181 0.500 0.087
# electronic total energy	-139.85	eV for the cell shown
# density of states at the Fermi level	44.6	states/eV/cell
# calculated volume	364	Å³/cell
# calculated formation energy	-0.479	eV per atom

=====

- Number 2 is which compound?
  Np2CuAs

=====

- Look up the density of states at the Fermi level of the first one.
  5.8 states/eV/cell

=====

- Which value of electronic total energy does entry 4 give?
  -128.61 eV for the cell shown